[1]
Entry from Alexandria: a relaxed Na2Mg3InSn4 crystal (GGA-PBE).

Computed properties:
E_tot in eV for the cell shown: -27.54
Magnetic moment in μB per atom: 0.00
Space group: P-4m2

Unit cell a=4.7046 b=4.7046 c=12.8021 alpha=90.00 beta=90.00 gamma=90.00
Fractional coordinates of all 10 atoms:
1 Na 0.0000 0.5000 0.2468
2 Na 0.5000 0.0000 0.7532
3 Mg 0.0000 0.5000 0.8612
4 Mg 0.5000 0.0000 0.1388
5 Mg 0.5000 0.5000 0.5000
6 In 0.0000 0.0000 0.5000
7 Sn 0.0000 0.0000 0.0000
8 Sn 0.0000 0.5000 0.6416
9 Sn 0.5000 0.0000 0.3584
10 Sn 0.5000 0.5000 0.0000


[2]
Entry from Alexandria: a relaxed MoW2Se crystal (GGA-PBE).

Computed properties:
Magnetic moment in μB per atom: 0.00
Space group: P4mm
Formation energy (no corrections) in kJ/mol of atoms: 27.6

Unit cell a=3.1259 b=3.1259 c=6.6263 alpha=90.00 beta=90.00 gamma=90.00
Fractional coordinates of all 4 atoms:
1 Mo 0.0000 0.0000 0.0000
2 W 0.0000 0.0000 0.5105
3 W 0.5000 0.5000 0.7686
4 Se 0.5000 0.5000 0.2737


[3]
Entry from Alexandria: a relaxed Pm2CuPd crystal (GGA-PBE).

Computed properties:
E_tot in eV for the cell shown: -20.64
Magnetic moment in μB per atom: 0.00
Space group: P4/mmm

Unit cell a=5.0675 b=5.0675 c=3.5982 alpha=90.00 beta=90.00 gamma=90.00
Fractional coordinates of all 4 atoms:
1 Pm 0.0000 0.5000 0.0000
2 Pm 0.5000 0.0000 0.0000
3 Cu 0.0000 0.0000 0.5000
4 Pd 0.5000 0.5000 0.5000


[4]
Entry from Alexandria: a relaxed CaTb2In2 crystal (GGA-PBE).

Computed properties:
E_tot in eV for the cell shown: -37.20
Magnetic moment in μB per atom: 0.00
Space group: Cmcm

Unit cell a=14.2746 b=14.2746 c=5.4194 alpha=90.00 beta=90.00 gamma=164.90
Fractional coordinates of all 10 atoms:
1 Ca 0.1478 0.8522 0.7500
2 Ca 0.8522 0.1478 0.2500
3 Tb 0.0482 0.9518 0.2500
4 Tb 0.2339 0.7661 0.2500
5 Tb 0.7661 0.2339 0.7500
6 Tb 0.9518 0.0482 0.7500
7 In 0.3583 0.6417 0.7500
8 In 0.4510 0.5490 0.2500
9 In 0.5490 0.4510 0.7500
10 In 0.6417 0.3583 0.2500